VASP calculation (PBE-GGA) on KRhO3 after structural relaxation.

Computed properties:
Space-group type = Pm-3m
Density = 3.8 g/cm3
Raw formation energy = 1.41 eV per atom

Cell and atoms, written as CIF:
```
data_KRhO3
_chemical_formula_sum 'K1 Rh1 O3'
_cell_length_a 4.356
_cell_length_b 4.356
_cell_length_c 4.356
_cell_angle_alpha 90.00
_cell_angle_beta 90.00
_cell_angle_gamma 90.00
_symmetry_space_group_name_H-M 'P 1'
_symmetry_Int_Tables_number 1
loop_
_symmetry_equiv_pos_as_xyz
'x,y,z'
loop_
_atom_site_label
_atom_site_type_symbol
_atom_site_fract_x
_atom_site_fract_y
_atom_site_fract_z
_atom_site_occupancy
K1 K 0.000 0.000 0.000 1
Rh1 Rh 0.500 0.500 0.500 1
O1 O 0.000 0.000 0.500 1
O2 O 0.000 0.500 0.000 1
O3 O 0.500 0.000 0.000 1
```


VASP calculation (PBE-GGA) on KRh3O6 after structural relaxation.

Computed properties:
Space-group type = P2_1/m
Density = 5.9 g/cm3
Raw formation energy = -0.85 eV per atom

Cell and atoms, written as CIF:
```
data_KRh3O6
_chemical_formula_sum 'K2 Rh6 O12'
_cell_length_a 8.989
_cell_length_b 3.127
_cell_length_c 9.313
_cell_angle_alpha 90.00
_cell_angle_beta 107.70
_cell_angle_gamma 90.00
_symmetry_space_group_name_H-M 'P 1'
_symmetry_Int_Tables_number 1
loop_
_symmetry_equiv_pos_as_xyz
'x,y,z'
loop_
_atom_site_label
_atom_site_type_symbol
_atom_site_fract_x
_atom_site_fract_y
_atom_site_fract_z
_atom_site_occupancy
K1 K 0.133 0.250 0.406 1
K2 K 0.867 0.750 0.594 1
Rh1 Rh 0.164 0.750 0.047 1
Rh2 Rh 0.251 0.250 0.792 1
Rh3 Rh 0.466 0.250 0.344 1
Rh4 Rh 0.534 0.750 0.656 1
Rh5 Rh 0.749 0.750 0.208 1
Rh6 Rh 0.836 0.250 0.953 1
O1 O 0.059 0.250 0.902 1
O2 O 0.166 0.750 0.656 1
O3 O 0.262 0.250 0.178 1
O4 O 0.319 0.750 0.937 1
O5 O 0.379 0.750 0.440 1
O6 O 0.443 0.250 0.734 1
O7 O 0.557 0.750 0.266 1
O8 O 0.621 0.250 0.560 1
O9 O 0.681 0.250 0.063 1
O10 O 0.738 0.750 0.822 1
O11 O 0.834 0.250 0.344 1
O12 O 0.941 0.750 0.098 1
```


VASP calculation (PBE-GGA) on K2Rh2O after structural relaxation.

Computed properties:
Space-group type = I4/mmm
Energy above the most stable polymorph in this dataset = 0.0 meV per atom
Density = 4.4 g/cm3
Raw formation energy = -0.01 eV per atom

Cell and atoms, written as CIF:
```
data_K2Rh2O
_chemical_formula_sum 'K2 Rh2 O1'
_cell_length_a 9.783
_cell_length_b 9.783
_cell_length_c 9.783
_cell_angle_alpha 159.57
_cell_angle_beta 159.57
_cell_angle_gamma 29.06
_symmetry_space_group_name_H-M 'P 1'
_symmetry_Int_Tables_number 1
loop_
_symmetry_equiv_pos_as_xyz
'x,y,z'
loop_
_atom_site_label
_atom_site_type_symbol
_atom_site_fract_x
_atom_site_fract_y
_atom_site_fract_z
_atom_site_occupancy
K1 K 0.079 0.079 0.000 1
K2 K 0.921 0.921 0.000 1
Rh1 Rh 0.250 0.750 0.500 1
Rh2 Rh 0.750 0.250 0.500 1
O1 O 0.500 0.500 0.000 1
```


VASP calculation (PBE-GGA) on K4RhO4 after structural relaxation.

Computed properties:
Space-group type = I-42m
Energy above the most stable polymorph in this dataset = 160.1 meV per atom
Density = 2.3 g/cm3
Raw formation energy = -1.00 eV per atom

Cell and atoms, written as CIF:
```
data_K4RhO4
_chemical_formula_sum 'K4 Rh1 O4'
_cell_length_a 7.400
_cell_length_b 7.400
_cell_length_c 7.400
_cell_angle_alpha 130.49
_cell_angle_beta 130.49
_cell_angle_gamma 72.63
_symmetry_space_group_name_H-M 'P 1'
_symmetry_Int_Tables_number 1
loop_
_symmetry_equiv_pos_as_xyz
'x,y,z'
loop_
_atom_site_label
_atom_site_type_symbol
_atom_site_fract_x
_atom_site_fract_y
_atom_site_fract_z
_atom_site_occupancy
K1 K 0.000 0.500 0.500 1
K2 K 0.214 0.214 0.000 1
K3 K 0.500 0.000 0.500 1
K4 K 0.786 0.786 0.000 1
Rh1 Rh 0.500 0.500 0.000 1
O1 O 0.225 0.555 0.000 1
O2 O 0.445 0.445 0.670 1
O3 O 0.555 0.225 0.000 1
O4 O 0.775 0.775 0.330 1
```